# 1
Below is a relaxed ErScZnRu crystal, with properties calculated at the PBE level.

Results
Distance to the lowest polymorph of the same formula, kcal/mol of atoms: 0.000
D(E_F), states/eV/atom: 0.531
SG: P4mm
E_tot, eV/atom: -5.85
Formation enthalpy at 0 K, eV/atom: -0.48

abc: 3.3379 3.3379 6.9398
angles: 90.00 90.00 90.00
Closest atoms and distances in Å follow each position.
Fractional coordinates of all 4 atoms:
Er 0.5000 0.5000 0.7995  4 Ru 2.92, 4 Zn 3.12, 1 Sc 3.19
Sc 0.5000 0.5000 0.3399  4 Ru 2.78, 4 Zn 2.91
Ru 0.0000 0.0000 0.5511  4 Sc 2.78, 4 Er 2.92
Zn 0.0000 0.0000 0.0941  4 Sc 2.91, 4 Er 3.12, 1 Ru 3.17

=====

# 2
Below is a relaxed La2AgMoN crystal, with properties calculated at the PBE level.

Results
D(E_F), states/eV/atom: 0.745
SG: P4/mmm
E_tot, eV/atom: -6.85

abc: 5.2959 5.2959 3.9921
angles: 90.00 90.00 90.00
Closest atoms and distances in Å follow each position.
Fractional coordinates of all 5 atoms:
La 0.0000 0.5000 0.0000  2 N 2.65
La 0.5000 0.0000 0.0000  2 N 2.65
Mo 0.0000 0.0000 0.5000  2 N 2.00
Ag 0.5000 0.5000 0.5000  8 La 3.32
N 0.0000 0.0000 0.0000  2 Mo 2.00

=====

# 3
Below is a relaxed Fe3Ir4Rh3 crystal, with properties calculated at the PBE level.

Results
D(E_F), states/eV/atom: 1.336
SG: Amm2
E_tot, eV/atom: -8.10
Formation enthalpy at 0 K, eV/atom: 0.19

abc: 2.7486 7.2375 7.2376
angles: 92.03 90.00 90.00
Closest atoms and distances in Å follow each position.
Fractional coordinates of all 10 atoms:
Ir 0.0000 0.6335 0.3665  6 Fe 2.45-2.54, 1 Ir 2.67
Ir 0.0000 0.8586 0.8767  4 Fe 2.45-2.56, 2 Rh 2.65, 1 Ir 2.66
Fe 0.5000 0.6733 0.6599  6 Ir 2.45-2.55
Fe 0.5000 0.3401 0.3267  6 Ir 2.45-2.55
Rh 0.0000 0.4972 0.9988  4 Rh 2.75-2.97, 4 Ir 2.79-2.93, 4 Fe 3.00
Ir 0.0000 0.1233 0.1414  4 Fe 2.45-2.56, 2 Rh 2.65, 1 Ir 2.66
Rh 0.5000 0.1676 0.8324  6 Ir 2.58-2.65, 2 Rh 2.75
Rh 0.0000 0.0012 0.5028  4 Rh 2.75-2.97, 4 Ir 2.79-2.93, 4 Fe 3.00
Ir 0.0000 0.3774 0.6226  4 Fe 2.55, 4 Rh 2.58-2.83, 3 Ir 2.67-2.75
Fe 0.5000 0.8277 0.1723  6 Ir 2.45-2.56

=====

# 4
Below is a relaxed Hf3ScSb2 crystal, with properties calculated at the PBE level.

Results
D(E_F), states/eV/atom: 0.771
SG: C2/m
E_tot, eV/atom: -7.82

abc: 3.8841 9.8229 9.0550
angles: 124.94 90.00 101.40
Closest atoms and distances in Å follow each position.
Fractional coordinates of all 12 atoms:
Hf 0.6377 0.2753 0.7966  4 Sb 2.94-3.10, 2 Hf 3.19
Sb 0.5071 0.0143 0.1763  4 Hf 2.86-2.94, 4 Sc 2.97-3.07, 1 Sb 3.04
Hf 0.3135 0.6270 0.5239  4 Sb 2.89-3.17, 4 Hf 2.95-3.07
Hf 0.9424 0.8848 0.5456  3 Hf 2.78-3.07, 2 Sb 2.86
Sb 0.2519 0.5038 0.7814  2 Sc 2.95, 7 Hf 2.99-3.17
Sc 0.8889 0.7779 0.8871  6 Sb 2.95-3.07
Sc 0.1111 0.2221 0.1129  6 Sb 2.95-3.07
Sb 0.4929 0.9857 0.8237  4 Hf 2.86-2.94, 4 Sc 2.97-3.07, 1 Sb 3.04
Hf 0.0576 0.1152 0.4544  3 Hf 2.78-3.07, 2 Sb 2.86
Hf 0.3623 0.7247 0.2034  4 Sb 2.94-3.10, 2 Hf 3.19
Sb 0.7481 0.4962 0.2186  2 Sc 2.95, 7 Hf 2.99-3.17
Hf 0.6865 0.3730 0.4761  4 Sb 2.89-3.17, 4 Hf 2.95-3.07

=====

# 5
Below is a relaxed Ce5GeTe3 crystal, with properties calculated at the PBE level.

Results
D(E_F), states/eV/atom: 2.619
SG: P6_3/mcm
E_tot, eV/atom: -5.93

abc: 6.3552 9.4044 9.4044
angles: 120.00 90.00 90.00
Closest atoms and distances in Å follow each position.
Fractional coordinates of all 18 atoms:
Ce 0.2500 0.7342 0.7342  2 Ge 2.96, 3 Te 3.21-3.28
Te 0.2500 0.6149 0.0000  9 Ce 3.21-3.37
Ce 0.5000 0.3333 0.6667  2 Ce 3.18, 6 Te 3.33
Ce 0.0000 0.3333 0.6667  2 Ce 3.18, 6 Te 3.33
Ce 0.2500 0.2658 0.0000  2 Ge 2.96, 3 Te 3.21-3.28
Te 0.7500 0.6149 0.6149  9 Ce 3.21-3.37
Ce 0.0000 0.6667 0.3333  2 Ce 3.18, 6 Te 3.33
Te 0.2500 0.0000 0.6149  9 Ce 3.21-3.37
Te 0.7500 0.3851 0.0000  9 Ce 3.21-3.37
Ce 0.5000 0.6667 0.3333  2 Ce 3.18, 6 Te 3.33
Te 0.2500 0.3851 0.3851  9 Ce 3.21-3.37
Ge 0.0000 0.0000 0.0000  6 Ce 2.96, 2 Ge 3.18
Ce 0.7500 0.7342 0.0000  2 Ge 2.96, 3 Te 3.21-3.28
Ce 0.7500 0.0000 0.7342  2 Ge 2.96, 3 Te 3.21-3.28
Te 0.7500 0.0000 0.3851  9 Ce 3.21-3.37
Ce 0.7500 0.2658 0.2658  2 Ge 2.96, 3 Te 3.21-3.28
Ge 0.5000 0.0000 0.0000  6 Ce 2.96, 2 Ge 3.18
Ce 0.2500 0.0000 0.2658  2 Ge 2.96, 3 Te 3.21-3.28

=====

# 6
Below is a relaxed HfCdCoPt crystal, with properties calculated at the PBE level.

Results
D(E_F), states/eV/atom: 0.509
SG: F-43m
E_tot, eV/atom: -6.44
Formation enthalpy at 0 K, eV/atom: -0.44

abc: 4.5493 4.5493 4.5493
angles: 60.00 60.00 60.00
Closest atoms and distances in Å follow each position.
Fractional coordinates of all 4 atoms:
Co 0.2500 0.2500 0.2500  4 Cd 2.79, 4 Hf 2.79
Hf 0.0000 0.0000 0.0000  4 Pt 2.79, 4 Co 2.79
Cd 0.5000 0.5000 0.5000  4 Co 2.79, 4 Pt 2.79
Pt 0.7500 0.7500 0.7500  4 Hf 2.79, 4 Cd 2.79

=====

# 7
Below is a relaxed HfIn3O crystal, with properties calculated at the PBE level.

Results
Distance to the lowest polymorph of the same formula, kcal/mol of atoms: 28.147
D(E_F), states/eV/atom: 2.314
SG: Pm-3m
E_tot, eV/atom: -3.53

abc: 5.6475 5.6475 5.6475
angles: 90.00 90.00 90.00
Closest atoms and distances in Å follow each position.
Fractional coordinates of all 5 atoms:
O 0.5000 0.5000 0.5000  12 In 3.99
In 0.5000 0.0000 0.0000  2 Hf 2.82
In 0.0000 0.0000 0.5000  2 Hf 2.82
Hf 0.0000 0.0000 0.0000  6 In 2.82
In 0.0000 0.5000 0.0000  2 Hf 2.82

=====

# 8
Below is a relaxed Cs2Sm2TeO6 crystal, with properties calculated at the PBE level.

Results
D(E_F), states/eV/atom: 0.000
SG: C2/m
E_tot, eV/atom: -6.16

abc: 6.1377 6.1377 7.3157
angles: 97.66 97.66 119.77
Closest atoms and distances in Å follow each position.
Fractional coordinates of all 11 atoms:
Sm 0.3346 0.6654 0.5000  6 O 2.36-2.39
O 0.3693 0.0465 0.6587  1 Te 2.27, 2 Sm 2.36-2.39
O 0.2625 0.2625 0.3407  1 Te 2.23, 2 Sm 2.38
O 0.7375 0.7375 0.6593  1 Te 2.23, 2 Sm 2.38
O 0.6307 0.9535 0.3413  1 Te 2.27, 2 Sm 2.36-2.39
Te 0.0000 0.0000 0.5000  6 O 2.23-2.27
O 0.0465 0.3693 0.6587  1 Te 2.27, 2 Sm 2.36-2.39
Sm 0.6654 0.3346 0.5000  6 O 2.36-2.39
Cs 0.1657 0.8343 0.0000  6 O 3.09-3.23
O 0.9535 0.6307 0.3413  1 Te 2.27, 2 Sm 2.36-2.39
Cs 0.8343 0.1657 0.0000  6 O 3.09-3.23

=====

# 9
Below is a relaxed ErRuC2 crystal, with properties calculated at the PBE level.

Results
Distance to the lowest polymorph of the same formula, kcal/mol of atoms: 0.886
D(E_F), states/eV/atom: 0.661
SG: Amm2
E_tot, eV/atom: -8.24
Formation enthalpy at 0 K, eV/atom: -0.17

abc: 3.5569 3.9327 3.9327
angles: 105.85 90.00 90.00
Closest atoms and distances in Å follow each position.
Fractional coordinates of all 4 atoms:
C 0.5000 0.5563 0.1510  1 C 1.39
Er 0.0000 0.9935 0.0065  8 C 2.64-2.77
C 0.5000 0.8490 0.4437  1 C 1.39
Ru 0.5000 0.3812 0.6188  4 C 2.02-2.13

=====

# 10
Below is a relaxed PrHoOsPd crystal, with properties calculated at the PBE level.

Results
D(E_F), states/eV/atom: 0.716
SG: F-43m
E_tot, eV/atom: -6.84
Formation enthalpy at 0 K, eV/atom: -0.39

abc: 4.9702 4.9702 4.9702
angles: 60.00 60.00 60.00
Closest atoms and distances in Å follow each position.
Fractional coordinates of all 4 atoms:
Os 0.5000 0.5000 0.5000  4 Pr 3.04, 4 Ho 3.04
Pd 0.0000 0.0000 0.0000  4 Pr 3.04, 4 Ho 3.04
Pr 0.7500 0.7500 0.7500  4 Os 3.04, 4 Pd 3.04
Ho 0.2500 0.2500 0.2500  4 Pd 3.04, 4 Os 3.04

=====

# 11
Below is a relaxed NaAcTlGa crystal, with properties calculated at the PBE level.

Results
D(E_F), states/eV/atom: 0.519
SG: F-43m
E_tot, eV/atom: -2.96
Formation enthalpy at 0 K, eV/atom: -0.26

abc: 5.5053 5.5053 5.5053
angles: 60.00 60.00 60.00
Closest atoms and distances in Å follow each position.
Fractional coordinates of all 4 atoms:
Ga 0.2500 0.2500 0.2500  4 Ac 3.37, 4 Na 3.37
Na 0.5000 0.5000 0.5000  4 Ga 3.37, 4 Tl 3.37
Ac 0.0000 0.0000 0.0000  4 Tl 3.37, 4 Ga 3.37
Tl 0.7500 0.7500 0.7500  4 Na 3.37, 4 Ac 3.37

=====

# 12
Below is a relaxed CuGeSb2Te crystal, with properties calculated at the PBE level.

Results
Distance to the lowest polymorph of the same formula, kcal/mol of atoms: 0.000
D(E_F), states/eV/atom: 0.881
SG: P4/mmm
E_tot, eV/atom: -3.49

abc: 5.0102 5.0102 5.3476
angles: 90.00 90.00 90.00
Closest atoms and distances in Å follow each position.
Fractional coordinates of all 5 atoms:
Sb 0.5000 0.0000 0.0000  2 Cu 2.51
Te 0.0000 0.0000 0.5000  2 Cu 2.67
Sb 0.0000 0.5000 0.0000  2 Cu 2.51
Cu 0.0000 0.0000 0.0000  4 Sb 2.51, 2 Te 2.67
Ge 0.5000 0.5000 0.5000  4 Te 3.54, 8 Sb 3.66

=====

D(E_F) of number 5 (Ce5GeTe3)? 2.619 states/eV/atom

=====

E_tot of number 2 (La2AgMoN)? -6.85 eV/atom

=====

What did the tenth record say?
Below is a relaxed PrHoOsPd crystal, with properties calculated at the PBE level.

Results
D(E_F), states/eV/atom: 0.716
SG: F-43m
E_tot, eV/atom: -6.84
Formation enthalpy at 0 K, eV/atom: -0.39

abc: 4.9702 4.9702 4.9702
angles: 60.00 60.00 60.00
Closest atoms and distances in Å follow each position.
Fractional coordinates of all 4 atoms:
Os 0.5000 0.5000 0.5000  4 Pr 3.04, 4 Ho 3.04
Pd 0.0000 0.0000 0.0000  4 Pr 3.04, 4 Ho 3.04
Pr 0.7500 0.7500 0.7500  4 Os 3.04, 4 Pd 3.04
Ho 0.2500 0.2500 0.2500  4 Pd 3.04, 4 Os 3.04